No. 1
Entry from the Alexandria database: a relaxed structure of DyHS2 (PBE).

As for the relative energy among the computed polymorphs: 0.000 eV per atom. The space group is No. 31. The total energy comes out at -43.10 eV/cell.

a = 4.0931 Å, b = 6.0601 Å, c = 6.7459 Å
α = 90.00°, β = 90.00°, γ = 90.00°
Fractional coordinates of all 8 atoms:
S 0.5000 0.9906 0.8271
Dy 0.5000 0.2847 0.4939
S 0.0000 0.0094 0.3271
S 0.0000 0.5132 0.6434
S 0.5000 0.4868 0.1434
H 0.5000 0.1656 0.9584
H 0.0000 0.8344 0.4584
Dy 0.0000 0.7153 0.9939

No. 2
Entry from the Alexandria database: a relaxed structure of SrNi2Te (PBE).

As for the relative energy among the computed polymorphs: 0.114 eV per atom. The space group is No. 47. The total energy comes out at -17.43 eV/cell.

a = 4.1807 Å, b = 4.5502 Å, c = 5.0562 Å
α = 89.98°, β = 90.00°, γ = 90.00°
Last column: magnetic moment on the atom in μB.
Fractional coordinates of all 4 atoms:
Sr 0.5000 0.0000 0.5000  0.00
Te 0.5000 0.5000 0.0000  0.01
Ni 0.0000 0.5003 0.2683  0.07
Ni 0.0000 0.4997 0.7317  0.07

Number 1: magnetization 0.00 μB per formula unit. Number 2: magnetization 0.14 μB per formula unit.